# 1
The following is a DFT calculation (PBE-GGA) of a relaxed structure of MnCuSn2.

POSCAR file:
```
MnCuSn2
1.0
0.0000 3.3808 3.3808
3.3808 0.0000 3.3808
3.3808 3.3808 0.0000
Mn Sn Cu
1 2 1
direct
0.0000 0.0000 0.0000
0.2500 0.2500 0.2500
0.7500 0.7500 0.7500
0.5000 0.5000 0.5000
```

Calculated values
space group: No. 225
N(E_F): 2.3 states/eV per cell

***

# 2
The following is a DFT calculation (PBE-GGA) of a relaxed structure of KFe2Cu.

POSCAR file:
```
KFe2Cu
1.0
-2.6399 -3.7245 0.4376
-2.3917 -3.1363 -2.3400
5.0584 -4.3635 -0.4720
Cu Fe K
1 2 1
direct
0.7500 0.7500 0.7500
0.0221 0.0221 0.8758
0.4779 0.4779 0.6242
0.2500 0.2500 0.2500
```

Calculated values
space group: No. 12
N(E_F): 2.9 states/eV per cell

***

# 3
The following is a DFT calculation (PBE-GGA) of a relaxed structure of Cu2SiAu.

POSCAR file:
```
Cu2SiAu
1.0
4.5821 0.0813 0.0000
-1.5364 4.3176 0.0000
0.0000 0.0000 2.8231
Au Cu Si
1 2 1
direct
0.0000 0.5000 0.5000
0.0000 0.0000 0.0000
0.5000 0.5000 0.0000
0.5000 0.0000 0.5000
```

Calculated values
formation energy from raw total energies: 0.039 eV/atom
space group: No. 65
N(E_F): 0.5 states/eV per cell

***

# 4
The following is a DFT calculation (PBE-GGA) of a relaxed structure of TaBe2Ge.

POSCAR file:
```
TaBe2Ge
1.0
6.5602 0.0000 0.0000
0.0000 6.5602 0.0000
3.2801 3.2801 2.5388
Be Ge Ta
4 2 2
direct
0.5941 0.1250 0.2500
0.1559 0.6250 0.2500
0.3750 0.4059 0.7500
0.8750 0.8441 0.7500
0.5000 0.5000 0.0000
0.2500 0.7500 0.5000
0.0000 0.0000 0.0000
0.7500 0.2500 0.5000
```

Calculated values
space group: No. 122
N(E_F): 3.8 states/eV per cell

***

# 5
The following is a DFT calculation (PBE-GGA) of a relaxed structure of InReHg2.

POSCAR file:
```
InReHg2
1.0
-2.1198 -2.0402 0.5164
0.7244 -1.7809 -4.0625
4.0932 -3.6620 2.3352
Hg In Re
2 1 1
direct
0.0000 0.0000 0.9850
0.0000 0.0000 0.5150
0.5000 0.5000 0.2500
0.5000 0.5000 0.7500
```

Calculated values
space group: No. 47
N(E_F): 3.1 states/eV per cell

***

# 6
The following is a DFT calculation (PBE-GGA) of a relaxed structure of Ac2PrDySe6.

POSCAR file:
```
Ac2PrDySe6
1.0
-6.4717 1.6052 3.7556
-6.5025 -3.5679 -1.8850
-2.9710 -5.4309 4.9969
Ac Pr Dy Se
2 1 1 6
direct
0.5241 0.5241 0.4277
0.0258 0.0258 0.9227
0.3151 0.3150 0.0547
0.8174 0.8176 0.5475
0.6092 0.1869 0.2636
0.1869 0.9403 0.2635
0.9404 0.6092 0.2636
0.4525 0.6938 0.7573
0.6938 0.0964 0.7573
0.0963 0.4526 0.7574
```

Calculated values
formation energy from raw total energies: -1.913 eV/atom
space group: No. 146
N(E_F): 0.0 states/eV per cell

***

no.,final energy (eV/atom)
1,-5.03
2,-4.84
3,-4.18
4,-5.63
5,-3.15
6,-5.76